*w*
First-principles (GGA-PBE) data for Be2CdAu6 after structural relaxation, as listed in Alexandria via LeMat-Bulk.

Cell lengths 3.992, 3.992, 20.421 Å; angles 90.00, 90.00, 90.00 degrees
Space group I4/mmm (No. 139)
Asymmetric unit:
1 Be 0.000 0.000 0.176 (multiplicity 4)
2 Cd 0.000 0.000 0.500 (multiplicity 2)
3 Au 0.000 0.500 0.106 (multiplicity 8)
4 Au 0.000 0.500 0.250 (multiplicity 4)

Calculated values
DOS at the Fermi energy, states/eV/cell: 5.100
Mass density, Mg/m³: 13.39

=====

*x*
First-principles (GGA-PBE) data for Be2CdAu6 after structural relaxation, as listed in Alexandria via LeMat-Bulk.

Cell lengths 3.324, 8.866, 10.624 Å; angles 90.00, 90.00, 90.00 degrees
Space group Immm (No. 71)
Asymmetric unit:
1 Be 0.000 0.158 0.000 (multiplicity 4)
2 Cd 0.000 0.500 0.000 (multiplicity 2)
3 Au 0.000 0.000 0.179 (multiplicity 4)
4 Au 0.000 0.234 0.365 (multiplicity 8)

Calculated values
DOS at the Fermi energy, states/eV/cell: 4.342
Mass density, Mg/m³: 13.92

=====

Which structure is the least stable? The one labeled *x*.